Ba4IrSe3: relaxed, GGA-PBE.

Geometry as CIF:
```
data_Ba4IrSe3
_cell_length_a 6.416
_cell_length_b 4.767
_cell_length_c 8.977
_cell_angle_alpha 90.00
_cell_angle_beta 102.47
_cell_angle_gamma 90.00
_symmetry_space_group_name_H-M 'P 1'
_symmetry_Int_Tables_number 1
_symmetry_space_group_name_Hall 'P 1'
loop_
_atom_site_label
_atom_site_fract_x
_atom_site_fract_y
_atom_site_fract_z
_atom_site_occupancy
Ba1 0.000 0.000 0.000 1
Ba2 0.128 0.000 0.526 1
Ba3 0.465 0.500 0.844 1
Ba4 0.602 0.500 0.343 1
Ir1 0.858 0.500 0.696 1
Se1 0.082 0.500 0.271 1
Se2 0.525 0.000 0.088 1
Se3 0.692 0.000 0.644 1
```

Crystal system = monoclinic
Total energy = -37.26 eV for the cell shown

---

K2AgAuSe2: relaxed, GGA-PBE.

Geometry as CIF:
```
data_K2AgAuSe2
_cell_length_a 4.537
_cell_length_b 4.537
_cell_length_c 9.613
_cell_angle_alpha 90.00
_cell_angle_beta 90.00
_cell_angle_gamma 120.00
_symmetry_space_group_name_H-M 'P 1'
_symmetry_Int_Tables_number 1
_symmetry_space_group_name_Hall 'P 1'
loop_
_atom_site_label
_atom_site_fract_x
_atom_site_fract_y
_atom_site_fract_z
_atom_site_occupancy
K1 0.000 0.000 0.249 1
K2 0.000 0.000 0.751 1
Ag1 0.333 0.667 0.000 1
Au1 0.667 0.333 0.500 1
Se1 0.333 0.667 0.500 1
Se2 0.667 0.333 0.000 1
```

Crystal system = hexagonal
Total energy = -19.46 eV for the cell shown